An optimized crystal structure of MnINF2. Source: Alexandria via LeMat-Bulk, functional GGA+U.

The structure in extended XYZ format:
```
5
Lattice="3.862 0.000 0.000 0.000 3.862 0.000 0.000 0.000 5.102" Properties=species:S:1:pos:R:3 pbc="T T T"
Mn 0.000 0.000 0.000
I 1.931 1.931 2.551
N 0.000 0.000 2.551
F 0.000 1.931 0.000
F 1.931 0.000 0.000
```

- DFT total energy: -4.8014 eV per atom
- Crystal system: tetragonal
- Space-group type: P4/mmm, No. 123